First-principles (PBE+U) data for a geometry-optimized ScVO3 structure, as listed in Alexandria.

The electronic total energy comes out at -8.5052 eV/atom. For the density of states at the Fermi level, the calculation gives 0.0 states/eV per cell. Its symmetry is R-3.

a = 5.6304 Å, b = 5.6304 Å, c = 5.6304 Å
α = 55.71°, β = 55.71°, γ = 55.71°
Closest atoms and distances in Å follow each position.
Atoms (fractional coordinates):
Sc 0.1404 0.1404 0.1404  6 O 2.05-2.24
Sc 0.8596 0.8596 0.8596  6 O 2.05-2.24
V 0.3488 0.3488 0.3488  6 O 2.05-2.10
V 0.6512 0.6512 0.6512  6 O 2.05-2.10
O 0.0518 0.7410 0.4521  2 V 2.05-2.10, 2 Sc 2.05-2.24
O 0.2590 0.5479 0.9482  2 V 2.05-2.10, 2 Sc 2.05-2.24
O 0.4521 0.0518 0.7410  2 V 2.05-2.10, 2 Sc 2.05-2.24
O 0.5479 0.9482 0.2590  2 V 2.05-2.10, 2 Sc 2.05-2.24
O 0.7410 0.4521 0.0518  2 V 2.05-2.10, 2 Sc 2.05-2.24
O 0.9482 0.2590 0.5479  2 V 2.05-2.10, 2 Sc 2.05-2.24